[1]
! PBE NbB3Pb, optimized geometry; values from VASP
! Raw total energy   -4.044 eV per atom
! Energy relative to the elements   2.718 eV per atom
! Density   6.40 g cm⁻³
&SYSTEM
  ibrav = 0, nat = 5, ntyp = 3
/
ATOMIC_SPECIES
Nb 92.91 Nb.upf
B 10.81 B.upf
Pb 207.20 Pb.upf
CELL_PARAMETERS angstrom
4.420 0.000 0.000
0.000 4.420 0.000
0.000 0.000 4.420
ATOMIC_POSITIONS crystal
Nb 0.000 0.000 0.000
B 0.000 0.500 0.500
B 0.500 0.000 0.500
B 0.500 0.500 0.000
Pb 0.500 0.500 0.500

---

[2]
! PBE La3Nd2Y6, optimized geometry; values from VASP
! Raw total energy   -5.554 eV per atom
! Energy relative to the elements   0.183 eV per atom
! Density   5.22 g cm⁻³
&SYSTEM
  ibrav = 0, nat = 11, ntyp = 3
/
ATOMIC_SPECIES
La 138.91 La.upf
Nd 144.24 Nd.upf
Y 88.91 Y.upf
CELL_PARAMETERS angstrom
3.129 -5.434 0.000
3.129 5.434 0.000
-2.102 0.000 11.584
ATOMIC_POSITIONS crystal
La 0.000 0.000 0.000
La 0.336 0.664 0.000
La 0.664 0.336 0.000
Nd 0.166 0.834 0.500
Nd 0.834 0.166 0.500
Y 0.086 0.418 0.253
Y 0.251 0.251 0.748
Y 0.418 0.086 0.253
Y 0.582 0.914 0.747
Y 0.749 0.749 0.252
Y 0.914 0.582 0.747

---

[3]
! PBE Ac5Os2Au2, optimized geometry; values from VASP
! Raw total energy   -5.850 eV per atom
! Energy relative to the elements   -0.344 eV per atom
! Density   11.56 g cm⁻³
&SYSTEM
  ibrav = 0, nat = 18, ntyp = 3
/
ATOMIC_SPECIES
Ac 227.00 Ac.upf
Os 190.23 Os.upf
Au 196.97 Au.upf
CELL_PARAMETERS angstrom
8.233 -4.099 0.000
8.233 4.099 0.000
0.000 0.000 8.129
ATOMIC_POSITIONS crystal
Ac 0.000 0.000 0.000
Ac 0.049 0.691 0.676
Ac 0.191 0.549 0.176
Ac 0.309 0.951 0.676
Ac 0.451 0.809 0.176
Ac 0.500 0.500 0.500
Ac 0.549 0.191 0.824
Ac 0.691 0.049 0.324
Ac 0.809 0.451 0.824
Ac 0.951 0.309 0.324
Os 0.112 0.888 0.392
Os 0.388 0.612 0.892
Os 0.612 0.388 0.108
Os 0.888 0.112 0.608
Au 0.211 0.211 0.000
Au 0.289 0.289 0.500
Au 0.711 0.711 0.500
Au 0.789 0.789 0.000

---

[4]
! PBE LiHoCdPb, optimized geometry; values from VASP
! Raw total energy   -3.128 eV per atom
! Energy relative to the elements   -0.350 eV per atom
! Density   8.44 g cm⁻³
&SYSTEM
  ibrav = 0, nat = 4, ntyp = 4
/
ATOMIC_SPECIES
Li 6.94 Li.upf
Ho 164.93 Ho.upf
Cd 112.41 Cd.upf
Pb 207.20 Pb.upf
CELL_PARAMETERS angstrom
4.224 0.000 0.000
0.000 4.674 0.000
0.000 0.000 4.895
ATOMIC_POSITIONS crystal
Li 0.000 0.000 0.000
Ho 0.000 0.500 0.500
Cd 0.500 0.500 0.000
Pb 0.500 0.000 0.500

---

[5]
! PBE CsHg2PdPt, optimized geometry; values from VASP
! Raw total energy   -2.510 eV per atom
! Energy relative to the elements   0.028 eV per atom
! Density   9.16 g cm⁻³
&SYSTEM
  ibrav = 0, nat = 5, ntyp = 4
/
ATOMIC_SPECIES
Cs 132.91 Cs.upf
Hg 200.59 Hg.upf
Pd 106.42 Pd.upf
Pt 195.08 Pt.upf
CELL_PARAMETERS angstrom
5.344 0.000 0.000
0.000 5.344 0.000
0.000 0.000 5.302
ATOMIC_POSITIONS crystal
Cs 0.000 0.000 0.000
Hg 0.000 0.500 0.500
Hg 0.500 0.000 0.500
Pd 0.500 0.500 0.000
Pt 0.500 0.500 0.500

---

[6]
! PBE La2ZnRe, optimized geometry; values from VASP
! Raw total energy   -5.801 eV per atom
! Energy relative to the elements   0.093 eV per atom
! Density   8.51 g cm⁻³
&SYSTEM
  ibrav = 0, nat = 8, ntyp = 3
/
ATOMIC_SPECIES
La 138.91 La.upf
Zn 65.41 Zn.upf
Re 186.21 Re.upf
CELL_PARAMETERS angstrom
4.402 0.000 0.000
0.000 4.262 0.000
0.000 0.000 11.017
ATOMIC_POSITIONS crystal
La 0.000 0.000 0.000
La 0.000 0.500 0.500
La 0.500 0.000 0.280
La 0.500 0.500 0.780
Zn 0.000 0.000 0.704
Zn 0.000 0.500 0.204
Re 0.500 0.000 0.575
Re 0.500 0.500 0.075

---

[7]
! PBE NaCoSeBr2, optimized geometry; values from VASP
! Raw total energy   -3.457 eV per atom
! Density   4.30 g cm⁻³
! Raw formation energy   -0.4056 eV/atom
&SYSTEM
  ibrav = 0, nat = 5, ntyp = 4
/
ATOMIC_SPECIES
Na 22.99 Na.upf
Co 58.93 Co.upf
Se 78.96 Se.upf
Br 79.90 Br.upf
CELL_PARAMETERS angstrom
5.247 0.000 0.000
0.000 5.247 0.000
0.000 0.000 4.499
ATOMIC_POSITIONS crystal
Na 0.000 0.000 0.000
Co 0.500 0.500 0.500
Se 0.500 0.500 0.000
Br 0.000 0.500 0.500
Br 0.500 0.000 0.500

---

[8]
! PBE SrTcSn2, optimized geometry; values from VASP
! Raw total energy   -4.807 eV per atom
! Energy relative to the elements   0.206 eV per atom
! Density   5.09 g cm⁻³
&SYSTEM
  ibrav = 0, nat = 16, ntyp = 3
/
ATOMIC_SPECIES
Sr 87.62 Sr.upf
Tc 98.00 Tc.upf
Sn 118.71 Sn.upf
CELL_PARAMETERS angstrom
5.713 0.000 0.000
0.000 5.713 0.000
0.000 0.000 16.901
ATOMIC_POSITIONS crystal
Sr 0.000 0.000 0.000
Sr 0.000 0.500 0.250
Sr 0.500 0.000 0.750
Sr 0.500 0.500 0.500
Tc 0.000 0.000 0.500
Tc 0.000 0.500 0.750
Tc 0.500 0.000 0.250
Tc 0.500 0.500 0.000
Sn 0.065 0.250 0.625
Sn 0.250 0.565 0.875
Sn 0.250 0.935 0.375
Sn 0.435 0.250 0.125
Sn 0.565 0.750 0.125
Sn 0.750 0.065 0.375
Sn 0.750 0.435 0.875
Sn 0.935 0.750 0.625

---

[9]
! PBE CePmGa2, optimized geometry; values from VASP
! Raw total energy   -4.490 eV per atom
! Energy relative to the elements   -0.305 eV per atom
! Density   6.62 g cm⁻³
&SYSTEM
  ibrav = 0, nat = 12, ntyp = 3
/
ATOMIC_SPECIES
Ce 140.12 Ce.upf
Pm 145.00 Pm.upf
Ga 69.72 Ga.upf
CELL_PARAMETERS angstrom
3.699 0.000 0.000
-1.850 3.204 0.000
0.000 0.000 26.946
ATOMIC_POSITIONS crystal
Ce 0.000 0.000 0.000
Ce 0.333 0.667 0.667
Ce 0.667 0.333 0.333
Pm 0.000 0.000 0.500
Pm 0.333 0.667 0.167
Pm 0.667 0.333 0.833
Ga 0.000 0.000 0.250
Ga 0.000 0.000 0.750
Ga 0.333 0.667 0.417
Ga 0.333 0.667 0.917
Ga 0.667 0.333 0.083
Ga 0.667 0.333 0.583

---

[10]
! PBE YTa2Au, optimized geometry; values from VASP
! Raw total energy   -8.235 eV per atom
! Energy relative to the elements   0.126 eV per atom
! Density   13.44 g cm⁻³
&SYSTEM
  ibrav = 0, nat = 16, ntyp = 3
/
ATOMIC_SPECIES
Y 88.91 Y.upf
Ta 180.95 Ta.upf
Au 196.97 Au.upf
CELL_PARAMETERS angstrom
6.841 0.000 0.000
0.000 6.841 0.000
0.000 0.000 6.841
ATOMIC_POSITIONS crystal
Y 0.000 0.000 0.000
Y 0.000 0.500 0.500
Y 0.500 0.000 0.500
Y 0.500 0.500 0.000
Ta 0.000 0.000 0.500
Ta 0.000 0.500 0.000
Ta 0.250 0.250 0.250
Ta 0.250 0.750 0.750
Ta 0.500 0.000 0.000
Ta 0.500 0.500 0.500
Ta 0.750 0.250 0.750
Ta 0.750 0.750 0.250
Au 0.250 0.250 0.750
Au 0.250 0.750 0.250
Au 0.750 0.250 0.250
Au 0.750 0.750 0.750

---

[11]
! PBE Co2BiRu2, optimized geometry; values from VASP
! Raw total energy   -6.790 eV per atom
! Energy relative to the elements   0.539 eV per atom
! Density   11.30 g cm⁻³
&SYSTEM
  ibrav = 0, nat = 10, ntyp = 3
/
ATOMIC_SPECIES
Co 58.93 Co.upf
Bi 208.98 Bi.upf
Ru 101.07 Ru.upf
CELL_PARAMETERS angstrom
7.284 0.000 0.000
0.000 7.284 0.000
0.000 0.000 2.931
ATOMIC_POSITIONS crystal
Co 0.140 0.360 0.000
Co 0.360 0.860 0.000
Co 0.640 0.140 0.000
Co 0.860 0.640 0.000
Bi 0.000 0.000 0.000
Bi 0.500 0.500 0.000
Ru 0.145 0.645 0.500
Ru 0.355 0.145 0.500
Ru 0.645 0.855 0.500
Ru 0.855 0.355 0.500

---

[12]
! PBE Tb4BiC, optimized geometry; values from VASP
! Raw total energy   -5.611 eV per atom
! Energy relative to the elements   -0.340 eV per atom
! Density   9.01 g cm⁻³
&SYSTEM
  ibrav = 0, nat = 12, ntyp = 3
/
ATOMIC_SPECIES
Tb 158.93 Tb.upf
Bi 208.98 Bi.upf
C 12.01 C.upf
CELL_PARAMETERS angstrom
7.485 -3.044 0.000
7.485 3.044 0.000
-2.033 0.000 6.931
ATOMIC_POSITIONS crystal
Tb 0.022 0.180 0.441
Tb 0.180 0.022 0.941
Tb 0.250 0.368 0.822
Tb 0.368 0.250 0.322
Tb 0.632 0.750 0.678
Tb 0.750 0.632 0.178
Tb 0.820 0.978 0.059
Tb 0.978 0.820 0.559
Bi 0.386 0.614 0.250
Bi 0.614 0.386 0.750
C 0.000 0.500 0.500
C 0.500 0.000 0.000

---

[13]
! PBE ReNiRu2, optimized geometry; values from VASP
! Raw total energy   -8.783 eV per atom
! Energy relative to the elements   0.413 eV per atom
! Density   13.46 g cm⁻³
&SYSTEM
  ibrav = 0, nat = 16, ntyp = 3
/
ATOMIC_SPECIES
Re 186.21 Re.upf
Ni 58.69 Ni.upf
Ru 101.07 Ru.upf
CELL_PARAMETERS angstrom
6.042 0.000 0.000
0.000 6.042 0.000
0.000 0.000 6.042
ATOMIC_POSITIONS crystal
Re 0.000 0.000 0.000
Re 0.000 0.500 0.500
Re 0.500 0.000 0.500
Re 0.500 0.500 0.000
Ni 0.250 0.250 0.750
Ni 0.250 0.750 0.250
Ni 0.750 0.250 0.250
Ni 0.750 0.750 0.750
Ru 0.000 0.000 0.500
Ru 0.000 0.500 0.000
Ru 0.250 0.250 0.250
Ru 0.250 0.750 0.750
Ru 0.500 0.000 0.000
Ru 0.500 0.500 0.500
Ru 0.750 0.250 0.750
Ru 0.750 0.750 0.250

---

[14]
! PBE CsGe2O2, optimized geometry; values from VASP
! Raw total energy   -4.498 eV per atom
! Density   4.36 g cm⁻³
! Raw formation energy   -0.4972 eV/atom
&SYSTEM
  ibrav = 0, nat = 10, ntyp = 3
/
ATOMIC_SPECIES
Cs 132.91 Cs.upf
Ge 72.64 Ge.upf
O 16.00 O.upf
CELL_PARAMETERS angstrom
4.303 0.000 0.000
0.000 4.303 0.000
0.000 0.000 12.771
ATOMIC_POSITIONS crystal
Cs 0.000 0.000 0.000
Cs 0.500 0.500 0.500
Ge 0.000 0.500 0.250
Ge 0.000 0.500 0.750
Ge 0.500 0.000 0.250
Ge 0.500 0.000 0.750
O 0.000 0.000 0.314
O 0.000 0.000 0.686
O 0.500 0.500 0.186
O 0.500 0.500 0.814

---

[15]
! PBE SiO, optimized geometry; values from VASP
! Raw total energy   -6.460 eV per atom
! Density   2.75 g cm⁻³
! Raw formation energy   -1.2695 eV/atom
&SYSTEM
  ibrav = 0, nat = 12, ntyp = 2
/
ATOMIC_SPECIES
Si 28.09 Si.upf
O 16.00 O.upf
CELL_PARAMETERS angstrom
3.038 0.000 0.000
0.000 9.802 0.000
0.000 0.000 5.364
ATOMIC_POSITIONS crystal
Si 0.000 0.000 0.000
Si 0.000 0.238 0.482
Si 0.000 0.262 0.982
Si 0.000 0.500 0.500
Si 0.000 0.738 0.982
Si 0.000 0.762 0.482
O 0.500 0.000 0.868
O 0.500 0.163 0.467
O 0.500 0.337 0.967
O 0.500 0.500 0.368
O 0.500 0.663 0.967
O 0.500 0.837 0.467

---

[16]
! PBE CePrNd2Er5, optimized geometry; values from VASP
! Raw total energy   -4.520 eV per atom
! Energy relative to the elements   0.265 eV per atom
! Density   8.01 g cm⁻³
&SYSTEM
  ibrav = 0, nat = 18, ntyp = 4
/
ATOMIC_SPECIES
Ce 140.12 Ce.upf
Pr 140.91 Pr.upf
Nd 144.24 Nd.upf
Er 167.26 Er.upf
CELL_PARAMETERS angstrom
-4.341 4.341 7.736
4.341 -4.341 7.736
4.341 4.341 -7.736
ATOMIC_POSITIONS crystal
Ce 0.250 0.750 0.500
Ce 0.750 0.250 0.500
Pr 0.250 0.250 0.000
Pr 0.750 0.750 0.000
Nd 0.119 0.619 0.738
Nd 0.381 0.119 0.500
Nd 0.619 0.881 0.500
Nd 0.881 0.381 0.262
Er 0.000 0.000 0.000
Er 0.067 0.157 0.500
Er 0.157 0.657 0.090
Er 0.343 0.433 0.500
Er 0.433 0.933 0.090
Er 0.500 0.500 0.000
Er 0.567 0.067 0.910
Er 0.657 0.567 0.500
Er 0.843 0.343 0.910
Er 0.933 0.843 0.500

---

[17]
! PBE PmPr8Ho6, optimized geometry; values from VASP
! Raw total energy   -4.518 eV per atom
! Energy relative to the elements   0.179 eV per atom
! Density   7.28 g cm⁻³
&SYSTEM
  ibrav = 0, nat = 15, ntyp = 3
/
ATOMIC_SPECIES
Pm 145.00 Pm.upf
Pr 140.91 Pr.upf
Ho 164.93 Ho.upf
CELL_PARAMETERS angstrom
9.564 0.000 0.000
-4.782 8.282 0.000
0.000 0.000 6.514
ATOMIC_POSITIONS crystal
Pm 0.000 0.000 0.000
Pr 0.044 0.285 0.321
Pr 0.242 0.956 0.321
Pr 0.285 0.242 0.679
Pr 0.333 0.667 0.365
Pr 0.667 0.333 0.635
Pr 0.715 0.758 0.321
Pr 0.758 0.044 0.679
Pr 0.956 0.715 0.679
Ho 0.098 0.447 0.831
Ho 0.350 0.902 0.831
Ho 0.447 0.350 0.169
Ho 0.553 0.650 0.831
Ho 0.650 0.098 0.169
Ho 0.902 0.553 0.169

---

[18]
! PBE InOs3C, optimized geometry; values from VASP
! Raw total energy   -4.827 eV per atom
! Energy relative to the elements   4.304 eV per atom
! Density   9.80 g cm⁻³
&SYSTEM
  ibrav = 0, nat = 5, ntyp = 3
/
ATOMIC_SPECIES
In 114.82 In.upf
Os 190.23 Os.upf
C 12.01 C.upf
CELL_PARAMETERS angstrom
4.908 0.000 0.000
0.000 4.908 0.000
0.000 0.000 4.908
ATOMIC_POSITIONS crystal
In 0.000 0.000 0.000
Os 0.000 0.000 0.500
Os 0.000 0.500 0.000
Os 0.500 0.000 0.000
C 0.500 0.500 0.500

---

[19]
! PBE Na3TmSi2O7, optimized geometry; values from VASP
! Raw total energy   -6.847 eV per atom
! Density   3.78 g cm⁻³
! Raw formation energy   -2.6947 eV/atom
&SYSTEM
  ibrav = 0, nat = 78, ntyp = 4
/
ATOMIC_SPECIES
Na 22.99 Na.upf
Tm 168.93 Tm.upf
Si 28.09 Si.upf
O 16.00 O.upf
CELL_PARAMETERS angstrom
9.457 0.000 0.000
-4.728 8.190 0.000
0.000 0.000 13.832
ATOMIC_POSITIONS crystal
Na 0.000 0.000 0.000
Na 0.000 0.000 0.500
Na 0.015 0.331 0.589
Na 0.017 0.332 0.912
Na 0.315 0.983 0.912
Na 0.317 0.985 0.589
Na 0.331 0.317 0.089
Na 0.332 0.315 0.412
Na 0.333 0.667 0.271
Na 0.333 0.667 0.751
Na 0.667 0.333 0.251
Na 0.667 0.333 0.771
Na 0.668 0.685 0.912
Na 0.669 0.683 0.589
Na 0.683 0.015 0.089
Na 0.685 0.017 0.412
Na 0.983 0.668 0.412
Na 0.985 0.669 0.089
Tm 0.000 0.000 0.250
Tm 0.000 0.000 0.750
Tm 0.333 0.667 0.520
Tm 0.333 0.667 0.983
Tm 0.667 0.333 0.020
Tm 0.667 0.333 0.483
Si 0.018 0.347 0.140
Si 0.018 0.347 0.359
Si 0.329 0.982 0.140
Si 0.329 0.982 0.359
Si 0.347 0.329 0.640
Si 0.347 0.329 0.859
Si 0.653 0.671 0.140
Si 0.653 0.671 0.359
Si 0.671 0.018 0.640
Si 0.671 0.018 0.859
Si 0.982 0.653 0.640
Si 0.982 0.653 0.859
O 0.045 0.849 0.859
O 0.048 0.850 0.642
O 0.099 0.423 0.250
O 0.127 0.612 0.619
O 0.128 0.613 0.881
O 0.150 0.198 0.642
O 0.151 0.196 0.859
O 0.170 0.440 0.064
O 0.173 0.445 0.433
O 0.196 0.045 0.359
O 0.198 0.048 0.142
O 0.270 0.830 0.064
O 0.272 0.827 0.433
O 0.324 0.901 0.250
O 0.387 0.514 0.881
O 0.388 0.515 0.619
O 0.423 0.324 0.750
O 0.440 0.270 0.564
O 0.445 0.272 0.933
O 0.485 0.873 0.619
O 0.486 0.872 0.881
O 0.514 0.128 0.381
O 0.515 0.127 0.119
O 0.555 0.728 0.433
O 0.560 0.730 0.064
O 0.577 0.676 0.250
O 0.612 0.485 0.119
O 0.613 0.486 0.381
O 0.676 0.099 0.750
O 0.728 0.173 0.933
O 0.730 0.170 0.564
O 0.802 0.952 0.642
O 0.804 0.955 0.859
O 0.827 0.555 0.933
O 0.830 0.560 0.564
O 0.849 0.804 0.359
O 0.850 0.802 0.142
O 0.872 0.387 0.381
O 0.873 0.388 0.119
O 0.901 0.577 0.750
O 0.952 0.150 0.142
O 0.955 0.151 0.359

---

[20]
! PBE BeGa2Co5Si2, optimized geometry; values from VASP
! Raw total energy   -5.735 eV per atom
! Density   7.12 g cm⁻³
! Raw formation energy   -0.1200 eV/atom
&SYSTEM
  ibrav = 0, nat = 20, ntyp = 4
/
ATOMIC_SPECIES
Be 9.01 Be.upf
Ga 69.72 Ga.upf
Co 58.93 Co.upf
Si 28.09 Si.upf
CELL_PARAMETERS angstrom
8.649 0.000 0.000
0.000 8.649 0.000
0.000 0.000 3.113
ATOMIC_POSITIONS crystal
Be 0.000 0.000 0.000
Be 0.500 0.500 0.000
Ga 0.168 0.332 0.000
Ga 0.332 0.832 0.000
Ga 0.668 0.168 0.000
Ga 0.832 0.668 0.000
Co 0.000 0.500 0.500
Co 0.081 0.810 0.500
Co 0.190 0.081 0.500
Co 0.310 0.581 0.500
Co 0.419 0.310 0.500
Co 0.500 0.000 0.500
Co 0.581 0.690 0.500
Co 0.690 0.419 0.500
Co 0.810 0.919 0.500
Co 0.919 0.190 0.500
Si 0.133 0.633 0.000
Si 0.367 0.133 0.000
Si 0.633 0.867 0.000
Si 0.867 0.367 0.000